(1)
## Tc3IrAu (PBEsol)

Data for a relaxed structure of Tc3IrAu.

- offset from the most stable computed form (meV/atom) = 0
- spin magnetization (μB/f.u.) = 2.20
- electronic total energy (eV/cell) = -38.08
- formation energy (eV/atom) = 1.8942

abc: 4.618 4.618 4.618
angles: 90.00 90.00 90.00
Each line ends with the local moment (μB).
Element x y z (fractional)
Ir  0.000  0.000  0.000  -0.04
Au  0.500  0.500  0.500  0.05
Tc  0.000  0.500  0.000  0.70
Tc  0.000  0.000  0.500  0.70
Tc  0.500  0.000  0.000  0.70

(2)
## AlAgAu3 (PBEsol)

Data for a relaxed structure of AlAgAu3.

- spin magnetization (μB/f.u.) = 0.00
- electronic total energy (eV/cell) = -16.94
- formation energy (eV/atom) = 0.4478

abc: 4.712 4.712 4.712
angles: 90.00 90.00 90.00
Element x y z (fractional)
Au  0.000  0.500  0.000
Au  0.000  0.000  0.500
Au  0.500  0.000  0.000
Al  0.000  0.000  0.000
Ag  0.500  0.500  0.500

(3)
## AlPPt (PBEsol)

Data for a relaxed structure of AlPPt.

- spin magnetization (μB/f.u.) = 0.00
- electronic total energy (eV/cell) = -17.68
- formation energy (eV/atom) = -0.2779

abc: 3.463 3.463 4.458
angles: 112.86 112.86 90.00
Element x y z (fractional)
P  0.337  0.337  0.675
Al  0.005  0.005  0.011
Pt  0.657  0.657  0.315

(4)
## SbPIr (PBEsol)

Data for a relaxed structure of SbPIr.

- ΔE_f (raw) (eV per formula unit) = 1.339
- spin magnetization (μB/f.u.) = 0.00
- electronic total energy (eV/cell) = -18.83

abc: 3.692 3.726 4.715
angles: 113.28 113.05 90.00
Element x y z (fractional)
Sb  0.344  0.344  0.689
Ir  0.977  0.977  0.954
P  0.679  0.679  0.358

(5)
## NaAu3F (PBEsol)

Data for a relaxed structure of NaAu3F.

- offset from the most stable computed form (meV/atom) = 756
- ΔE_f (raw) (eV per formula unit) = 4.993
- spin magnetization (μB/f.u.) = 0.00
- electronic total energy (eV/cell) = -10.11

abc: 4.827 4.827 4.827
angles: 90.00 90.00 90.00
Element x y z (fractional)
Na  0.000  0.000  0.000
Au  0.000  0.500  0.000
Au  0.000  0.000  0.500
Au  0.500  0.000  0.000
F  0.500  0.500  0.500

(6)
## SrScIr4 (PBEsol)

Data for a relaxed structure of SrScIr4.

- spin magnetization (μB/f.u.) = 0.00
- electronic total energy (eV/cell) = -50.25
- formation energy (eV/atom) = -0.4177

abc: 5.291 5.291 5.291
angles: 60.00 60.00 60.00
Element x y z (fractional)
Sc  0.750  0.750  0.750
Sr  0.000  0.000  0.000
Ir  0.375  0.375  0.375
Ir  0.375  0.375  0.874
Ir  0.874  0.375  0.375
Ir  0.375  0.874  0.375

(7)
## Li5Y (PBEsol)

Data for a relaxed structure of Li5Y.

- offset from the most stable computed form (meV/atom) = 39
- spin magnetization (μB/f.u.) = 0.00
- electronic total energy (eV/cell) = -15.99
- formation energy (eV/atom) = 0.1118

abc: 3.160 5.171 8.254
angles: 90.00 101.04 90.00
Element x y z (fractional)
Li  0.995  0.000  0.991
Li  0.329  0.000  0.658
Li  0.677  0.000  0.354
Li  0.436  0.500  0.872
Li  0.785  0.500  0.570
Y  0.111  0.500  0.222

(8)
## CuOsF2 (PBEsol)

Data for a relaxed structure of CuOsF2.

- offset from the most stable computed form (meV/atom) = 403
- ΔE_f (raw) (eV per formula unit) = -0.771
- spin magnetization (μB/f.u.) = 0.00
- electronic total energy (eV/cell) = -21.18

abc: 2.616 2.616 7.914
angles: 80.49 80.49 60.00
Element x y z (fractional)
Os  0.500  0.500  0.500
Cu  0.000  0.000  0.000
F  0.921  0.921  0.237
F  0.079  0.079  0.763

(9)
## LaTcRu2 (PBEsol)

Data for a relaxed structure of LaTcRu2.

- offset from the most stable computed form (meV/atom) = 172
- spin magnetization (μB/f.u.) = 0.00
- electronic total energy (eV/cell) = -35.36
- formation energy (eV/atom) = 0.3999

abc: 3.067 3.067 7.389
angles: 90.00 90.00 90.00
Element x y z (fractional)
La  0.500  0.500  0.756
Ru  0.000  0.000  0.050
Ru  0.500  0.500  0.260
Tc  0.000  0.000  0.434

(10)
## Cr2NiOs (PBEsol)

Data for a relaxed structure of Cr2NiOs.

- spin magnetization (μB/f.u.) = 0.00
- electronic total energy (eV/cell) = -38.78
- formation energy (eV/atom) = 0.0203

abc: 3.618 3.618 4.398
angles: 114.29 114.29 90.00
Element x y z (fractional)
Ni  0.000  0.000  0.000
Os  0.500  0.500  0.000
Cr  0.750  0.250  0.500
Cr  0.250  0.750  0.500

(11)
## HfAl5Ni2 (PBEsol)

Data for a relaxed structure of HfAl5Ni2.

- spin magnetization (μB/f.u.) = 0.00
- electronic total energy (eV/cell) = -47.75
- formation energy (eV/atom) = -0.5599

abc: 3.973 3.973 7.729
angles: 104.89 104.89 90.00
Element x y z (fractional)
Ni  0.759  0.759  0.519
Ni  0.241  0.241  0.481
Hf  0.000  0.000  0.000
Al  0.353  0.853  0.706
Al  0.647  0.147  0.294
Al  0.853  0.353  0.706
Al  0.147  0.647  0.294
Al  0.500  0.500  0.000

(12)
## CaAsSe2 (PBEsol)

Data for a relaxed structure of CaAsSe2.

- ΔE_f (raw) (eV per formula unit) = -2.993
- spin magnetization (μB/f.u.) = 0.00
- electronic total energy (eV/cell) = -17.93

abc: 4.233 4.233 6.578
angles: 71.23 71.23 60.00
Element x y z (fractional)
As  0.500  0.500  0.500
Ca  0.000  0.000  0.000
Se  0.242  0.242  0.275
Se  0.758  0.758  0.725

(13)
## MnCrPt (PBEsol)

Data for a relaxed structure of MnCrPt.

- offset from the most stable computed form (meV/atom) = 0
- spin magnetization (μB/f.u.) = 1.02
- electronic total energy (eV/cell) = -27.13
- formation energy (eV/atom) = -0.0530

abc: 2.656 3.544 4.645
angles: 112.42 106.61 90.00
Each line ends with the local moment (μB).
Element x y z (fractional)
Cr  0.010  0.010  0.020  -1.55
Mn  0.656  0.656  0.313  2.47
Pt  0.333  0.333  0.667  0.10

(14)
## Ca2CrRe (PBEsol)

Data for a relaxed structure of Ca2CrRe.

- offset from the most stable computed form (meV/atom) = 137
- spin magnetization (μB/f.u.) = 5.57
- electronic total energy (eV/cell) = -23.17
- formation energy (eV/atom) = 1.1670

abc: 4.952 4.952 4.952
angles: 60.00 60.00 60.00
Each line ends with the local moment (μB).
Element x y z (fractional)
Re  0.500  0.500  0.500  0.89
Ca  0.250  0.250  0.250  0.06
Ca  0.750  0.750  0.750  0.06
Cr  0.000  0.000  0.000  3.70

(15)
## Tc2TeC (PBEsol)

Data for a relaxed structure of Tc2TeC.

- ΔE_f (raw) (eV per formula unit) = 4.433
- spin magnetization (μB/f.u.) = 0.00
- electronic total energy (eV/cell) = -31.27

abc: 4.253 4.253 4.253
angles: 60.00 60.00 60.00
Element x y z (fractional)
C  0.000  0.000  0.000
Te  0.500  0.500  0.500
Tc  0.250  0.250  0.250
Tc  0.750  0.750  0.750

(16)
## MgSbBr2 (PBEsol)

Data for a relaxed structure of MgSbBr2.

- offset from the most stable computed form (meV/atom) = 226
- ΔE_f (raw) (eV per formula unit) = -0.641
- spin magnetization (μB/f.u.) = 0.00
- electronic total energy (eV/cell) = -10.66

abc: 4.318 4.795 4.795
angles: 90.00 90.00 90.00
Element x y z (fractional)
Br  0.000  0.000  0.500
Br  0.000  0.500  0.000
Mg  0.500  0.500  0.500
Sb  0.500  0.000  0.000

(17)
## Mn4Pb (PBEsol)

Data for a relaxed structure of Mn4Pb.

- spin magnetization (μB/f.u.) = 0.08
- electronic total energy (eV/cell) = -40.74
- formation energy (eV/atom) = 0.4602

abc: 3.782 3.782 5.401
angles: 110.49 110.49 90.00
Each line ends with the local moment (μB).
Element x y z (fractional)
Mn  0.750  0.250  0.500  0.27
Mn  0.250  0.750  0.500  0.27
Mn  0.620  0.620  0.241  -0.23
Mn  0.380  0.380  0.759  -0.23
Pb  0.000  0.000  0.000  0.00

(18)
## LiCr2Tc (PBEsol)

Data for a relaxed structure of LiCr2Tc.

- spin magnetization (μB/f.u.) = 2.03
- electronic total energy (eV/cell) = -32.01
- formation energy (eV/atom) = 0.4266

abc: 2.900 2.900 5.860
angles: 90.00 90.00 90.00
Each line ends with the local moment (μB).
Element x y z (fractional)
Cr  0.000  0.000  0.003  -0.69
Cr  0.500  0.500  0.238  2.18
Li  0.000  0.000  0.495  0.00
Tc  0.500  0.500  0.763  0.38

(19)
## LaTeAsI2 (PBEsol)

Data for a relaxed structure of LaTeAsI2.

- ΔE_f (raw) (eV per formula unit) = -0.694
- spin magnetization (μB/f.u.) = 1.99
- electronic total energy (eV/cell) = -18.21

abc: 6.097 6.097 6.276
angles: 90.00 90.00 90.00
Each line ends with the local moment (μB).
Element x y z (fractional)
I  0.000  0.500  0.000  0.01
I  0.500  0.000  0.000  0.01
As  0.500  0.500  0.500  1.08
Te  0.000  0.000  0.500  -0.26
La  0.000  0.000  0.000  0.01

(20)
## Y2Mg3Cu (PBEsol)

Data for a relaxed structure of Y2Mg3Cu.

- offset from the most stable computed form (meV/atom) = 0
- spin magnetization (μB/f.u.) = 0.00
- electronic total energy (eV/cell) = -23.51
- formation energy (eV/atom) = -0.0637

abc: 5.705 5.705 5.705
angles: 61.23 61.23 61.23
Element x y z (fractional)
Y  0.874  0.874  0.874
Y  0.126  0.126  0.126
Mg  0.000  0.500  0.500
Mg  0.500  0.500  0.000
Mg  0.500  0.000  0.500
Cu  0.500  0.500  0.500

(21)
## Cd2Ge7O16 (PBEsol)

Data for a relaxed structure of Cd2Ge7O16.

- ΔE_f (raw) (eV per formula unit) = -39.959
- spin magnetization (μB/f.u.) = 0.00
- electronic total energy (eV/cell) = -321.83

abc: 4.673 11.280 11.280
angles: 90.00 90.00 90.00
Element x y z (fractional)
Cd  0.000  0.836  0.664
Cd  0.000  0.336  0.836
Cd  0.000  0.664  0.164
Cd  0.000  0.164  0.336
Ge  0.511  0.568  0.687
Ge  0.511  0.432  0.313
Ge  0.489  0.313  0.568
Ge  0.489  0.687  0.432
Ge  0.511  0.932  0.187
Ge  0.489  0.813  0.932
Ge  0.489  0.187  0.068
Ge  0.511  0.068  0.813
Ge  0.000  0.635  0.865
Ge  0.000  0.135  0.635
Ge  0.000  0.865  0.365
Ge  0.000  0.365  0.135
Ge  0.500  0.500  0.000
Ge  0.500  0.000  0.500
O  0.331  0.639  0.566
O  0.331  0.361  0.434
O  0.669  0.434  0.639
O  0.669  0.566  0.361
O  0.331  0.861  0.066
O  0.669  0.934  0.861
O  0.669  0.066  0.139
O  0.331  0.139  0.934
O  0.771  0.674  0.733
O  0.771  0.326  0.267
O  0.229  0.267  0.674
O  0.229  0.733  0.326
O  0.771  0.826  0.233
O  0.229  0.767  0.826
O  0.229  0.233  0.174
O  0.771  0.174  0.767
O  0.227  0.528  0.782
O  0.227  0.472  0.218
O  0.747  0.000  0.620
O  0.253  0.380  0.000
O  0.253  0.620  0.000
O  0.747  0.000  0.380
O  0.253  0.880  0.500
O  0.253  0.120  0.500
O  0.747  0.500  0.120
O  0.747  0.500  0.880
O  0.227  0.028  0.718
O  0.773  0.282  0.028
O  0.773  0.718  0.972
O  0.227  0.972  0.282
O  0.773  0.782  0.472
O  0.773  0.218  0.528

(22)
## CsBPd3 (PBEsol)

Data for a relaxed structure of CsBPd3.

- spin magnetization (μB/f.u.) = 0.00
- electronic total energy (eV/cell) = -13.89
- formation energy (eV/atom) = 2.3899

abc: 5.122 5.122 5.122
angles: 90.00 90.00 90.00
Element x y z (fractional)
Cs  0.000  0.000  0.000
B  0.500  0.500  0.500
Pd  0.000  0.500  0.000
Pd  0.000  0.000  0.500
Pd  0.500  0.000  0.000

(23)
## CrMo2 (PBEsol)

Data for a relaxed structure of CrMo2.

- offset from the most stable computed form (meV/atom) = 525
- spin magnetization (μB/f.u.) = 2.03
- electronic total energy (eV/cell) = -63.98
- formation energy (eV/atom) = 0.5965

abc: 5.087 5.087 5.087
angles: 60.00 60.00 60.00
Each line ends with the local moment (μB).
Element x y z (fractional)
Cr  0.750  0.750  0.750  2.24
Cr  0.500  0.500  0.500  2.24
Mo  0.125  0.625  0.125  -0.17
Mo  0.125  0.125  0.125  -0.17
Mo  0.125  0.125  0.625  -0.17
Mo  0.625  0.125  0.125  -0.17

(24)
## MgCuPt2 (PBEsol)

Data for a relaxed structure of MgCuPt2.

- spin magnetization (μB/f.u.) = 0.00
- electronic total energy (eV/cell) = -21.86
- formation energy (eV/atom) = -0.4713

abc: 2.816 3.594 5.621
angles: 90.00 89.99 90.00
Element x y z (fractional)
Mg  0.500  0.500  0.500
Pt  0.000  0.000  0.758
Pt  0.000  0.000  0.242
Cu  0.500  0.500  0.000

(25)
## Ba3TeIr (PBEsol)

Data for a relaxed structure of Ba3TeIr.

- ΔE_f (raw) (eV per formula unit) = -2.609
- spin magnetization (μB/f.u.) = 0.00
- electronic total energy (eV/cell) = -22.41

abc: 5.865 5.865 5.865
angles: 90.00 90.00 90.00
Element x y z (fractional)
Ir  0.000  0.000  0.000
Te  0.500  0.500  0.500
Ba  0.000  0.500  0.000
Ba  0.000  0.000  0.500
Ba  0.500  0.000  0.000

(26)
## TiW3Cl (PBEsol)

Data for a relaxed structure of TiW3Cl.

- ΔE_f (raw) (eV per formula unit) = 6.502
- spin magnetization (μB/f.u.) = 0.00
- electronic total energy (eV/cell) = -45.25

abc: 4.362 4.362 4.362
angles: 90.00 90.00 90.00
Element x y z (fractional)
Cl  0.000  0.000  0.000
W  0.000  0.500  0.000
W  0.000  0.000  0.500
W  0.500  0.000  0.000
Ti  0.500  0.500  0.500

(27)
## MgSb2Te (PBEsol)

Data for a relaxed structure of MgSb2Te.

- offset from the most stable computed form (meV/atom) = 86
- ΔE_f (raw) (eV per formula unit) = 0.266
- spin magnetization (μB/f.u.) = 0.00
- electronic total energy (eV/cell) = -14.09

abc: 3.256 3.256 11.445
angles: 81.82 81.82 60.00
Element x y z (fractional)
Sb  0.261  0.261  0.216
Sb  0.739  0.739  0.784
Mg  0.000  0.000  0.000
Te  0.500  0.500  0.500